VASP calculation (PBE-GGA) on crystalline BaSnPbSe3 at its relaxed geometry.

Calculated values
Calculated volume = 36.18 Å³/atom
Electronic total energy = -4.304 eV/atom

```
data_BaSnPbSe3
_symmetry_space_group_name_H-M 'P 1 21/m 1'
_symmetry_Int_Tables_number 11
_symmetry_space_group_name_Hall '-P 2yb'
_cell_length_a 9.031
_cell_length_b 4.447
_cell_length_c 10.969
_cell_angle_alpha 90.00
_cell_angle_beta 99.81
_cell_angle_gamma 90.00
loop_
_atom_site_label
_atom_site_type_symbol
_atom_site_fract_x
_atom_site_fract_y
_atom_site_fract_z
Ba1 Ba 0.162 0.250 0.184
Sn1 Sn 0.344 0.750 0.880
Pb1 Pb 0.168 0.250 0.613
Se1 Se 0.115 0.250 0.884
Se2 Se 0.153 0.750 0.427
Se3 Se 0.416 0.750 0.128
```